Entry 1:
Fe3Rh2: optimized geometry, PBEsol.

Computed properties:
Volume, Å³/atom: 12.4
Spin magnetization, μB per atom: 1.86
Energy relative to the elements, eV/atom: 0.11
Space-group type: C2/m

Cell and atoms, written as extended XYZ:
```
5
Lattice="2.5997 0.0000 -0.0064 0.0000 4.0782 0.0000 -0.9500 -2.0391 5.8612" Properties=species:S:1:pos:R:3 pbc="T T T"
Rh 0.8423 2.0391 4.6133
Rh 0.8074 0.0000 1.2415
Fe 1.8226 2.0391 2.3175
Fe -0.1728 0.0000 3.5372
Fe 0.0000 2.0391 0.0000
```



Entry 2:
Fe5Rh: optimized geometry, PBEsol.

Computed properties:
Volume, Å³/atom: 11.7
Spin magnetization, μB per atom: 2.20
Energy relative to the elements, eV/atom: 0.07
Space-group type: P-1

Cell and atoms, written as extended XYZ:
```
6
Lattice="2.5146 -0.0021 0.0008 0.8438 4.6423 0.0008 0.8404 1.1560 6.0019" Properties=species:S:1:pos:R:3 pbc="T T T"
Fe 3.3390 4.6146 3.9667
Fe 2.4999 3.4570 2.0260
Fe 1.6792 2.3201 0.0008
Fe 1.6988 2.3392 3.9775
Fe 0.8598 1.1816 2.0368
Rh 0.0000 0.0000 0.0000
```



Entry 3:
FeRh: optimized geometry, PBEsol.

Computed properties:
Volume, Å³/atom: 12.4
Spin magnetization, μB per atom: 1.32
Energy relative to the elements, eV/atom: 0.07
Space-group type: R-3m

Cell and atoms, written as extended XYZ:
```
2
Lattice="2.6209 0.0000 0.0000 1.3105 2.2698 0.0000 1.3105 0.7566 4.1789" Properties=species:S:1:pos:R:3 pbc="T T T"
Rh 2.6209 1.5132 2.0894
Fe 0.0000 0.0000 0.0000
```



Q: Which formula does entry 3 have?
A: FeRh



Q: What is the energy relative to the elements in the first record?
A: 0.11 eV/atom



Q: Which value of energy relative to the elements does entry 2 give?
A: 0.07 eV/atom



Q: Which of these has the lowest volume?
A: Fe5Rh